[1]
VASP calculation (GGA-PBE) on a relaxed structure of Ag8Hg3.

The structure belongs to space group R-3 (No. 148, hexagonal axes); the cell edges are 9.4215, 9.4215 and 9.8886 Å and the angles 90.00°, 90.00° and 120.00°. Symmetry generates all atoms from Ag at (0.0000, 0.0000, 0.1436), Ag at (0.0335, 0.1972, 0.3888) and Hg at (0.0000, 0.5000, 0.5000).

The calculation puts the excess energy over the best structure of this formula in the dataset at 4.86 kcal/mol of atoms. The crystal system is trigonal.

[2]
VASP calculation (GGA-PBE) on a relaxed structure of P2PbW.

The structure belongs to space group P2/m (No. 10); the cell edges are 3.578, 4.486 and 5.097 Å and the angles 90.00°, 100.13° and 90.00°. Symmetry generates all atoms from P at (0.215, 0.000, 0.362), Pb at (0.500, 0.500, 0.000) and W at (0.000, 0.500, 0.500).

The crystal system is monoclinic.

Number 1: ΔH_f (0 K) 0.26 eV per atom. Number 2: ΔH_f (0 K) 0.45 eV per atom.